(1)
Compound: TaSiI3
Source: the Alexandria database
Functional: PBE-GGA
Structure: relaxed

## Properties
Energy above the most stable polymorph in this dataset = 410 meV per atom
DOS(E_F) = 2.069 states/eV per atom

abc: 5.5613 5.5613 5.5613
angles: 90.00 90.00 90.00
Fractional positions:
I 0.5000 0.0000 0.0000
I 0.0000 0.5000 0.0000
Ta 0.5000 0.5000 0.5000
I 0.0000 0.0000 0.5000
Si 0.0000 0.0000 0.0000



(2)
Compound: TiCuBiC2
Source: the Alexandria database
Functional: PBE-GGA
Structure: relaxed

## Properties
Energy above the most stable polymorph in this dataset = 0 meV per atom
DOS(E_F) = 0.623 states/eV per atom

abc: 3.9052 5.0380 3.9052
angles: 90.00 90.00 90.00
Fractional positions:
C 0.0000 0.0000 0.5000
Cu 0.0000 0.0000 0.0000
Ti 0.0000 0.5000 0.0000
C 0.5000 0.0000 0.0000
Bi 0.5000 0.5000 0.5000



(3)
Compound: MgSnH2
Source: the Alexandria database
Functional: PBE-GGA
Structure: relaxed

## Properties
Energy above the most stable polymorph in this dataset = 0 meV per atom
DOS(E_F) = 0.282 states/eV per atom

abc: 3.0690 3.0690 9.2176
angles: 80.42 80.42 60.00
Fractional positions:
H 0.1328 0.1328 0.6015
Sn 0.0000 0.0000 0.0000
H 0.8672 0.8672 0.3985
Mg 0.5000 0.5000 0.5000



(4)
Compound: Sm2YAg
Source: the Alexandria database
Functional: PBE-GGA
Structure: relaxed

## Properties
Energy above the most stable polymorph in this dataset = 0 meV per atom
DOS(E_F) = 1.417 states/eV per atom

abc: 5.1790 5.1790 9.4729
angles: 105.84 105.84 90.07
Fractional positions:
Ag 0.7504 0.2496 0.0000
Ag 0.2496 0.7504 0.0000
Y 0.3525 0.3525 0.2049
Sm 0.8594 0.8594 0.2192
Y 0.6475 0.6475 0.7951
Sm 0.1406 0.1406 0.7808
Sm 0.5000 0.0000 0.5000
Sm 0.0000 0.5000 0.5000



(5)
Compound: SnH3N
Source: the Alexandria database
Functional: PBE-GGA
Structure: relaxed

## Properties
Energy above the most stable polymorph in this dataset = 0 meV per atom
DOS(E_F) = 0.331 states/eV per atom

abc: 3.4534 3.4534 3.4534
angles: 90.00 90.00 90.00
Fractional positions:
Sn 0.5000 0.5000 0.5000
H 0.5000 0.0000 0.0000
N 0.0000 0.0000 0.0000
H 0.0000 0.5000 0.0000
H 0.0000 0.0000 0.5000



(6)
Compound: ZnNi5
Source: the Alexandria database
Functional: PBE-GGA
Structure: relaxed

## Properties
Electronic total energy = -5.082 eV/atom
DOS(E_F) = 1.740 states/eV per atom

abc: 4.3567 4.3567 4.1117
angles: 90.00 90.00 120.00
Fractional positions:
Ni 0.0000 0.3333 0.5000
Ni 0.6754 0.3421 0.0000
Ni 0.9913 0.0000 0.0000
Zn 0.3333 0.0000 0.5000
Ni 0.3333 0.6579 0.0000
Ni 0.6667 0.6667 0.5000



(7)
Compound: NaThO
Source: the Alexandria database
Functional: PBE-GGA
Structure: relaxed

## Properties
Electronic total energy = -6.010 eV/atom
DOS(E_F) = 0.582 states/eV per atom

abc: 4.9105 4.9105 5.5405
angles: 90.00 90.00 90.00
Fractional positions:
Na 0.0000 0.5000 0.5000
O 0.0000 0.5000 0.0000
O 0.5000 0.0000 0.0000
Th 0.5000 0.5000 0.0000
Th 0.0000 0.0000 0.0000
Na 0.5000 0.0000 0.5000



(8)
Compound: TbGdDyIn
Source: the Alexandria database
Functional: PBE-GGA
Structure: relaxed

## Properties
Electronic total energy = -6.659 eV/atom
DOS(E_F) = 1.753 states/eV per atom

abc: 5.4544 5.4544 5.4544
angles: 60.00 60.00 60.00
Fractional positions:
Gd 0.7500 0.7500 0.7500
Tb 0.0000 0.0000 0.0000
Dy 0.5000 0.5000 0.5000
In 0.2500 0.2500 0.2500



Number 1: magnetic moment 4.00 μB/f.u.. Number 2: magnetic moment 0.00 μB/f.u.. Number 3: magnetic moment 0.00 μB/f.u.. Number 4: magnetic moment 0.00 μB/f.u.. Number 5: magnetic moment 0.00 μB/f.u.. Number 6: magnetic moment 2.06 μB/f.u.. Number 7: magnetic moment 0.00 μB/f.u.. Number 8: magnetic moment 8.33 μB/f.u..